Record 1
The following is a DFT calculation (PBE-GGA) of an optimized crystal structure of NaCoRe2Br.

Lattice parameters (Å, degrees): 4.647 4.423 4.647 90.00 90.00 90.00
Fractional positions:
Re (0.000, 0.000, 0.500)
Re (0.500, 0.000, 0.000)
Co (0.000, 0.500, 0.000)
Br (0.000, 0.000, 0.000)
Na (0.500, 0.500, 0.500)

## Properties
ΔE_f (raw)	45.595	kcal/mol of atoms

=====

Record 2
The following is a DFT calculation (PBE-GGA) of an optimized crystal structure of PuAgTe3.

Lattice parameters (Å, degrees): 6.089 7.956 11.959 90.02 90.00 90.00
Fractional positions:
Pu (0.750, 0.561, 0.661)
Pu (0.250, 0.439, 0.339)
Pu (0.750, 0.060, 0.339)
Pu (0.250, 0.940, 0.661)
Ag (0.500, 0.250, 0.083)
Ag (0.000, 0.750, 0.917)
Ag (0.500, 0.750, 0.917)
Ag (0.000, 0.250, 0.083)
Te (0.000, 0.250, 0.543)
Te (0.500, 0.750, 0.457)
Te (0.000, 0.750, 0.457)
Te (0.500, 0.250, 0.543)
Te (0.250, 0.076, 0.904)
Te (0.750, 0.924, 0.096)
Te (0.250, 0.576, 0.097)
Te (0.750, 0.424, 0.903)
Te (0.250, 0.569, 0.733)
Te (0.750, 0.431, 0.267)
Te (0.250, 0.069, 0.267)
Te (0.750, 0.931, 0.733)

## Properties
ΔE_f (raw)	-11.203	kcal/mol of atoms
ΔE to the lowest computed polymorph	0.0	kJ per mole of atoms

=====

Record 3
The following is a DFT calculation (PBE-GGA) of an optimized crystal structure of ScAl3Ni.

Lattice parameters (Å, degrees): 5.104 5.104 5.104 90.00 90.00 90.00
Fractional positions:
Sc (0.000, 0.000, 0.000)
Ni (0.500, 0.500, 0.500)
Al (0.000, 0.500, 0.000)
Al (0.000, 0.000, 0.500)
Al (0.500, 0.000, 0.000)

## Properties
ΔH_f (0 K)	1401	meV/atom
ΔE to the lowest computed polymorph	188.1	kJ per mole of atoms

=====

Record 4
The following is a DFT calculation (PBE-GGA) of an optimized crystal structure of YCu3Ni2.

Lattice parameters (Å, degrees): 5.558 5.558 7.183 67.24 67.24 60.00
Fractional positions:
Y (0.778, 0.778, 0.667)
Y (0.222, 0.222, 0.333)
Cu (0.254, 0.718, 0.310)
Cu (0.718, 0.254, 0.310)
Cu (0.718, 0.718, 0.310)
Cu (0.282, 0.746, 0.690)
Cu (0.746, 0.282, 0.690)
Cu (0.282, 0.282, 0.690)
Ni (0.000, 0.000, 0.000)
Ni (0.000, 0.500, 0.000)
Ni (0.500, 0.500, 0.000)
Ni (0.500, 0.000, 0.000)

## Properties
ΔH_f (0 K)	22	meV/atom